Record 1
DFT (PBE) results for a relaxed CaZrBi2 crystal.

```
CaZrBi2
1.0
4.3104 0.0000 0.0000
-2.1552 3.7330 0.0000
0.0000 0.0000 23.0156
Ca Zr Bi
3 3 6
direct
0.0000 0.0000 0.0000 Ca
0.3333 0.6667 0.6667 Ca
0.6667 0.3333 0.3333 Ca
0.0000 0.0000 0.8299 Zr
0.3333 0.6667 0.4966 Zr
0.6667 0.3333 0.1633 Zr
0.0000 0.0000 0.2400 Bi
0.0000 0.0000 0.4229 Bi
0.3333 0.6667 0.0895 Bi
0.3333 0.6667 0.9067 Bi
0.6667 0.3333 0.5733 Bi
0.6667 0.3333 0.7562 Bi
```

Record 2
DFT (PBE) results for a relaxed Ca2ZrBi2 crystal.

```
Ca2ZrBi2
1.0
8.8694 0.0000 0.0000
0.0000 8.8694 0.0000
0.0000 0.0000 3.7931
Ca Zr Bi
4 2 4
direct
0.1274 0.3726 0.0000 Ca
0.3726 0.8726 0.0000 Ca
0.6274 0.1274 0.0000 Ca
0.8726 0.6274 0.0000 Ca
0.0000 0.0000 0.0000 Zr
0.5000 0.5000 0.0000 Zr
0.1769 0.6769 0.5000 Bi
0.3231 0.1769 0.5000 Bi
0.6769 0.8231 0.5000 Bi
0.8231 0.3231 0.5000 Bi
```

Record 3
DFT (PBE) results for a relaxed CaZrBi2 crystal.

```
CaZrBi2
1.0
3.6982 0.0000 0.0000
0.0000 3.6982 0.0000
0.0000 0.0000 8.1598
Ca Zr Bi
1 1 2
direct
0.0000 0.0000 0.0000 Ca
0.0000 0.0000 0.5000 Zr
0.5000 0.5000 0.2750 Bi
0.5000 0.5000 0.7250 Bi
```

Record 4
DFT (PBE) results for a relaxed Ca2Zr4Bi crystal.

```
Ca2Zr4Bi
1.0
5.3865 0.0000 0.0000
0.0000 5.3865 0.0000
0.0000 0.0000 17.0616
Ca Zr Bi
4 8 2
direct
0.0000 0.0000 0.1344 Ca
0.0000 0.0000 0.8656 Ca
0.5000 0.5000 0.3656 Ca
0.5000 0.5000 0.6344 Ca
0.0000 0.0000 0.3365 Zr
0.0000 0.0000 0.6635 Zr
0.0000 0.5000 0.0000 Zr
0.0000 0.5000 0.5000 Zr
0.5000 0.0000 0.0000 Zr
0.5000 0.0000 0.5000 Zr
0.5000 0.5000 0.1635 Zr
0.5000 0.5000 0.8365 Zr
0.0000 0.0000 0.5000 Bi
0.5000 0.5000 0.0000 Bi
```

Record 5
DFT (PBE) results for a relaxed Cd3Bi crystal.

```
Cd3Bi
1.0
7.4850 0.0000 0.0000
0.0000 7.4850 0.0000
0.0000 0.0000 7.4850
Cd Bi
12 4
direct
0.0000 0.0000 0.0000 Cd
0.0000 0.5000 0.5000 Cd
0.2500 0.2500 0.2500 Cd
0.2500 0.2500 0.7500 Cd
0.2500 0.7500 0.2500 Cd
0.2500 0.7500 0.7500 Cd
0.5000 0.0000 0.5000 Cd
0.5000 0.5000 0.0000 Cd
0.7500 0.2500 0.2500 Cd
0.7500 0.2500 0.7500 Cd
0.7500 0.7500 0.2500 Cd
0.7500 0.7500 0.7500 Cd
0.0000 0.0000 0.5000 Bi
0.0000 0.5000 0.0000 Bi
0.5000 0.0000 0.0000 Bi
0.5000 0.5000 0.5000 Bi
```

Record 6
DFT (PBE) results for a relaxed Cd2Bi crystal.

```
Cd2Bi
1.0
3.3684 0.0000 0.0000
0.0000 3.3684 0.0000
0.0000 0.0000 13.9549
Cd Bi
4 2
direct
0.0000 0.0000 0.1776 Cd
0.0000 0.0000 0.8224 Cd
0.5000 0.5000 0.3224 Cd
0.5000 0.5000 0.6776 Cd
0.0000 0.0000 0.5000 Bi
0.5000 0.5000 0.0000 Bi
```

| no. | formation energy (eV/atom) | total magnetization (μB/cell) | Fermi-level density of states (states/eV/f.u.) |
| --- | --- | --- | --- |
| 1 | -0.503 | 0.0 | 1.44 |
| 2 | -0.135 | 3.6 | 2.80 |
| 3 | -0.436 | 0.0 | 2.94 |
| 4 | 1.000 | 5.0 | 10.12 |
| 5 | 0.115 | 0.0 | 3.13 |
| 6 | 0.081 | 0.0 | 1.69 |